(1)
## Be2SbOs (GGA-PBE)

Data for a relaxed structure of Be2SbOs.

POSCAR file:
```
Be2SbOs
1.0
4.012 -1.830 0.000
4.012 1.830 0.000
-0.179 0.000 4.147
Be Sb Os
2 1 1
Direct
0.195 0.195 0.022
0.805 0.805 0.978
0.000 0.000 0.500
0.500 0.500 0.000
```

Properties
Space-group type = No. 12
Raw formation energy = 0.29 eV per atom

***

(2)
## NdCd11Pt (GGA-PBE)

Data for a relaxed structure of NdCd11Pt.

POSCAR file:
```
NdCd11Pt
1.0
2.882 -7.094 0.000
2.882 7.094 0.000
-2.857 0.000 7.058
Nd Cd Pt
1 11 1
Direct
0.000 0.000 0.000
0.000 0.000 0.500
0.000 0.500 0.000
0.021 0.363 0.357
0.295 0.504 0.785
0.363 0.021 0.357
0.496 0.705 0.215
0.500 0.000 0.000
0.504 0.295 0.785
0.637 0.979 0.643
0.705 0.496 0.215
0.979 0.637 0.643
0.500 0.500 0.500
```

Properties
Calculated formation energy = -2.309 eV per formula unit
Space-group type = No. 12

***

(3)
## NaZrN2O (GGA-PBE)

Data for a relaxed structure of NaZrN2O.

POSCAR file:
```
NaZrN2O
1.0
3.953 0.000 0.000
0.000 3.953 0.000
0.000 0.000 3.820
Na Zr N O
1 1 2 1
Direct
0.000 0.000 0.000
0.500 0.500 0.500
0.000 0.500 0.000
0.500 0.000 0.000
0.000 0.000 0.500
```

Properties
Space-group type = No. 123
Raw formation energy = 0.83 eV per atom

***

(4)
## TbDyGa (GGA-PBE)

Data for a relaxed structure of TbDyGa.

POSCAR file:
```
TbDyGa
1.0
3.598 0.000 0.000
-1.799 3.116 0.000
0.000 0.000 14.812
Tb Dy Ga
2 2 2
Direct
0.333 0.667 0.403
0.667 0.333 0.597
0.333 0.667 0.794
0.667 0.333 0.206
0.333 0.667 0.057
0.667 0.333 0.943
```

Properties
E above lowest polymorph = 5.98 kcal/mol of atoms
Calculated formation energy = -0.393 eV per formula unit
Space-group type = No. 164

***

(5)
## BaSr2NiPb (GGA-PBE)

Data for a relaxed structure of BaSr2NiPb.

POSCAR file:
```
BaSr2NiPb
1.0
5.714 0.000 0.000
0.000 5.714 0.000
0.000 0.000 5.844
Ba Sr Ni Pb
1 2 1 1
Direct
0.000 0.000 0.000
0.000 0.500 0.500
0.500 0.000 0.500
0.000 0.000 0.500
0.500 0.500 0.000
```

Properties
Calculated formation energy = -0.731 eV per formula unit
Space-group type = No. 123

***

(6)
## Be2RhAu (GGA-PBE)

Data for a relaxed structure of Be2RhAu.

POSCAR file:
```
Be2RhAu
1.0
1.420 0.820 7.231
-1.420 0.820 7.231
0.000 -1.639 7.231
Be Rh Au
2 1 1
Direct
0.243 0.243 0.243
0.757 0.757 0.757
0.500 0.500 0.500
0.000 0.000 0.000
```

Properties
E above lowest polymorph = 7.17 kcal/mol of atoms
Calculated formation energy = -0.617 eV per formula unit
Space-group type = No. 166

***

(7)
## NiSb2TeC (GGA-PBE)

Data for a relaxed structure of NiSb2TeC.

POSCAR file:
```
NiSb2TeC
1.0
4.861 0.000 0.000
0.000 4.861 0.000
0.000 0.000 5.112
Ni Sb Te C
1 2 1 1
Direct
0.000 0.000 0.000
0.000 0.500 0.000
0.500 0.000 0.000
0.000 0.000 0.500
0.500 0.500 0.500
```

Properties
E above lowest polymorph = 8.85 kcal/mol of atoms
Space-group type = No. 123
Raw formation energy = 1.54 eV per atom

***

(8)
## Na2TlInI4 (GGA-PBE)

Data for a relaxed structure of Na2TlInI4.

POSCAR file:
```
Na2TlInI4
1.0
8.262 0.000 0.000
0.000 4.769 0.000
-2.754 0.000 7.996
Na Tl In I
2 1 1 4
Direct
0.000 0.000 0.000
0.500 0.500 0.000
0.000 0.500 0.500
0.500 0.000 0.500
0.243 0.500 0.225
0.260 0.000 0.775
0.740 0.000 0.225
0.757 0.500 0.775
```

Properties
Space-group type = No. 10
Raw formation energy = -0.90 eV per atom